[1]
Material: Pm6Tm3Sc
Method: DFT, PBE
State: optimized geometry

The structure in POSCAR format:
```
Pm6Tm3Sc
1.0
5.510 -9.553 0.000
5.510 9.553 0.000
0.000 0.000 6.182
Pm Tm Sc
12 6 2
Cartesian
5.510 8.698 3.091
2.970 4.064 5.651
5.510 4.291 1.386
3.676 0.867 0.672
3.676 -0.867 3.763
2.970 -4.064 2.561
8.049 4.064 5.651
7.343 0.867 0.672
7.343 -0.867 3.763
5.510 -4.291 4.477
8.049 -4.064 2.561
5.510 -8.698 0.000
1.786 2.100 3.304
1.786 -2.100 0.213
5.510 2.160 3.944
5.510 -2.160 0.854
9.233 2.100 3.304
9.233 -2.100 0.213
5.510 5.719 4.270
5.510 -5.719 1.179
```

Values from the calculation:
spin magnetization = 0.0 μB per cell
space-group type = Cmc2_1
energy relative to the elements = 0.138 eV per atom
offset from the most stable computed form = 0 meV per atom


[2]
Material: Pm3YTmSc
Method: DFT, PBE
State: optimized geometry

The structure in POSCAR format:
```
Pm3YTmSc
1.0
7.894 0.000 0.000
0.000 5.045 0.000
-3.209 0.000 9.522
Pm Y Tm Sc
6 2 2 2
Cartesian
1.202 1.261 0.422
-1.167 3.784 7.527
-0.346 1.261 5.162
5.031 3.784 4.360
5.852 1.261 1.995
3.483 3.784 9.100
0.437 3.784 2.829
4.249 1.261 6.693
3.525 3.784 1.215
1.160 1.261 8.307
2.723 1.261 3.605
1.963 3.784 5.917
```

Values from the calculation:
spin magnetization = 0.0 μB per cell
space-group type = P2_1/m
energy relative to the elements = 0.042 eV per atom


[3]
Material: Pm2YTm4Sc
Method: DFT, PBE
State: optimized geometry

The structure in POSCAR format:
```
Pm2YTm4Sc
1.0
4.981 0.000 0.000
0.000 4.981 0.000
0.000 0.000 9.874
Pm Y Tm Sc
2 1 4 1
Cartesian
0.000 0.000 0.000
2.491 2.491 4.937
0.000 0.000 4.937
0.000 2.491 2.414
0.000 2.491 7.461
2.491 0.000 2.414
2.491 0.000 7.461
2.491 2.491 0.000
```

Values from the calculation:
spin magnetization = 0.0 μB per cell
space-group type = P4/mmm
energy relative to the elements = 0.038 eV per atom


[4]
Material: Pm6Y2Tm3Sc
Method: DFT, PBE
State: optimized geometry

The structure in POSCAR format:
```
Pm6Y2Tm3Sc
1.0
3.097 -5.362 0.000
3.097 5.362 0.000
-2.059 0.000 11.503
Pm Y Tm Sc
6 2 3 1
Cartesian
-0.009 1.769 8.624
1.017 0.000 2.878
-0.009 -1.769 8.624
4.144 1.769 2.879
3.118 0.000 8.625
4.144 -1.769 2.879
2.067 1.788 5.752
2.067 -1.788 5.752
3.097 3.576 0.000
3.097 0.000 0.000
3.097 -3.576 0.000
-1.030 0.000 5.752
```

Values from the calculation:
spin magnetization = 0.0 μB per cell
space-group type = C2/m
energy relative to the elements = 0.024 eV per atom